[1]
# GGA-PBE KRb2Au9, optimized geometry
# - Total energy: -105.059 eV for the cell shown
# - Energy of formation from the pure elements: -2.49 eV/f.u.
# - N(E_F): 2.2 states/eV/f.u.
# - Total magnetic moment: 0.00 μB per formula unit
data_KRb2Au9
_cell_length_a 5.8010
_cell_length_b 5.8010
_cell_length_c 29.0235
_cell_angle_alpha 90.00
_cell_angle_beta 90.00
_cell_angle_gamma 120.00
_symmetry_space_group_name_H-M 'R -3 m'
_symmetry_Int_Tables_number 166
_symmetry_space_group_name_Hall '-R 3 2"'
loop_
_atom_site_label
_atom_site_type_symbol
_atom_site_fract_x
_atom_site_fract_y
_atom_site_fract_z
K1 K 0.0000 0.0000 0.0000
Rb1 Rb 0.0000 0.0000 0.1427
Au1 Au 0.0000 0.0000 0.3324
Au2 Au 0.0000 0.0000 0.5000
Au3 Au 0.0010 0.5005 0.0798



[2]
# GGA-PBE KRb5Au2, optimized geometry
# - Total energy: -27.174 eV for the cell shown
# - Energy of formation from the pure elements: -1.10 eV/f.u.
# - N(E_F): 6.1 states/eV/f.u.
# - Total magnetic moment: 0.00 μB per formula unit
data_KRb5Au2
_cell_length_a 5.181
_cell_length_b 9.340
_cell_length_c 19.592
_cell_angle_alpha 90.00
_cell_angle_beta 90.00
_cell_angle_gamma 90.00
_symmetry_space_group_name_H-M 'I m m m'
_symmetry_Int_Tables_number 71
_symmetry_space_group_name_Hall '-I 2 2'
loop_
_atom_site_label
_atom_site_type_symbol
_atom_site_fract_x
_atom_site_fract_y
_atom_site_fract_z
K1 K 0.000 0.000 0.000
Rb1 Rb 0.000 0.249 0.337
Rb2 Rb 0.000 0.500 0.000
Au1 Au 0.000 0.500 0.193



[3]
# GGA-PBE KRbAu, optimized geometry
# - Total energy: -11.818 eV for the cell shown
# - Energy of formation from the pure elements: -0.57 eV/f.u.
# - N(E_F): 0.2 states/eV/f.u.
# - Energy above the lowest structure with this stoichiometry: 11 meV/atom
# - Total magnetic moment: 0.00 μB per formula unit
data_KRbAu
_cell_length_a 5.7498
_cell_length_b 5.7498
_cell_length_c 10.0941
_cell_angle_alpha 90.00
_cell_angle_beta 90.00
_cell_angle_gamma 120.00
_symmetry_space_group_name_H-M 'P -6 m 2'
_symmetry_Int_Tables_number 187
_symmetry_space_group_name_Hall 'P -6 2'
loop_
_atom_site_label
_atom_site_type_symbol
_atom_site_fract_x
_atom_site_fract_y
_atom_site_fract_z
K1 K 0.0000 0.0000 0.0000
K2 K 0.3333 0.6667 0.5000
Rb1 Rb 0.6667 0.3333 0.2403
Au1 Au 0.3333 0.6667 0.1394



[4]
# GGA-PBE K3Rb3Au4, optimized geometry
# - Total energy: -43.514 eV for the cell shown
# - Energy of formation from the pure elements: -2.45 eV/f.u.
# - N(E_F): 5.7 states/eV/f.u.
# - Total magnetic moment: 0.59 μB per formula unit
data_K3Rb3Au4
_cell_length_a 5.011
_cell_length_b 12.570
_cell_length_c 12.435
_cell_angle_alpha 90.00
_cell_angle_beta 90.00
_cell_angle_gamma 90.00
_symmetry_space_group_name_H-M 'A m m 2'
_symmetry_Int_Tables_number 38
loop_
_symmetry_equiv_pos_as_xyz
'x,y,z'
'-x,-y,z'
'-x,y,z'
'x,-y,z'
'x,y+1/2,z+1/2'
'-x,-y+1/2,z+1/2'
'-x,y+1/2,z+1/2'
'x,-y+1/2,z+1/2'
loop_
_atom_site_label
_atom_site_type_symbol
_atom_site_fract_x
_atom_site_fract_y
_atom_site_fract_z
K1 K 0.000 0.000 0.000
K2 K 0.500 0.249 0.087
Rb1 Rb 0.000 0.000 0.673
Rb2 Rb 0.000 0.165 0.336
Au1 Au 0.500 0.000 0.214
Au2 Au 0.500 0.000 0.452
Au3 Au 0.500 0.116 0.841